Record 1
The following is a DFT calculation (PBE-GGA) of a relaxed Sr4Tl2Sn crystal.

## Properties
**Density**: 5.42 g cm⁻³
**Total DFT energy (no corrections)**: -2.581 eV per atom
**Formation enthalpy at 0 K**: -35.9 kJ/mol of atoms
**Fermi-level density of states**: 5.60 states/eV per cell

Lattice parameters (Å, degrees): 5.749 5.749 9.966 73.23 73.23 60.00
Element x y z (fractional)
1 Sn 0.000 0.000 0.000
2 Sr 0.626 0.626 0.123
3 Tl 0.250 0.250 0.251
4 Sr 0.876 0.876 0.371
5 Sr 0.124 0.124 0.629
6 Tl 0.750 0.750 0.749
7 Sr 0.374 0.374 0.877

Record 2
The following is a DFT calculation (PBE-GGA) of a relaxed Gd2HgPd crystal.

## Properties
**Density**: 9.46 g cm⁻³
**Total DFT energy (no corrections)**: -8.964 eV per atom
**Formation enthalpy at 0 K**: -53.1 kJ/mol of atoms
**Fermi-level density of states**: 4.65 states/eV per cell

Lattice parameters (Å, degrees): 3.993 3.993 8.228 75.96 75.96 60.00
Last column: magnetic moment on the atom in μB.
Element x y z (fractional)
1 Gd 0.261 0.261 0.217  7.02
2 Hg 0.500 0.500 0.500  0.01
3 Pd 0.000 0.000 0.000  -0.01
4 Gd 0.739 0.739 0.783  7.02

Record 3
The following is a DFT calculation (PBE-GGA) of a relaxed Pr2InSe crystal.

## Properties
**Density**: 6.49 g cm⁻³
**Total DFT energy (no corrections)**: -5.057 eV per atom
**Fermi-level density of states**: 2.57 states/eV per cell
**Raw formation energy**: -1112 meV/atom

Lattice parameters (Å, degrees): 4.185 4.185 8.379 75.54 75.54 60.00
Element x y z (fractional)
1 Pr 0.258 0.258 0.226
2 In 0.500 0.500 0.500
3 Pr 0.742 0.742 0.774
4 Se 0.000 0.000 0.000

Record 4
The following is a DFT calculation (PBE-GGA) of a relaxed Ga2Si2Au crystal.

## Properties
**Density**: 6.77 g cm⁻³
**Total DFT energy (no corrections)**: -3.894 eV per atom
**Fermi-level density of states**: 3.23 states/eV per cell
**Raw formation energy**: 141 meV/atom

Lattice parameters (Å, degrees): 6.277 6.277 4.888 90.00 90.00 90.00
Element x y z (fractional)
1 Ga 0.667 0.833 0.500
2 Au 0.500 0.500 0.000
3 Ga 0.333 0.167 0.500
4 Si 0.632 0.132 0.000
5 Ga 0.167 0.667 0.500
6 Si 0.132 0.368 0.000
7 Au 0.000 0.000 0.000
8 Si 0.368 0.868 0.000
9 Si 0.868 0.632 0.000
10 Ga 0.833 0.333 0.500

Record 5
The following is a DFT calculation (PBE-GGA) of a relaxed Ti4GeO2 crystal.

## Properties
**Density**: 5.59 g cm⁻³
**Total DFT energy (no corrections)**: -8.233 eV per atom
**Fermi-level density of states**: 8.16 states/eV per cell
**Raw formation energy**: -1646 meV/atom

Lattice parameters (Å, degrees): 3.366 5.254 10.494 90.00 90.00 108.68
Element x y z (fractional)
1 Ge 0.613 0.225 0.750
2 Ti 0.500 0.000 0.000
3 Ti 0.241 0.483 0.895
4 O 0.129 0.258 0.439
5 Ti 0.919 0.838 0.750
6 O 0.129 0.258 0.061
7 Ti 0.241 0.483 0.605
8 Ti 0.081 0.162 0.250
9 Ti 0.759 0.517 0.395
10 Ti 0.500 0.000 0.500
11 O 0.871 0.742 0.939
12 O 0.871 0.742 0.561
13 Ge 0.387 0.775 0.250
14 Ti 0.759 0.517 0.105

Record 6
The following is a DFT calculation (PBE-GGA) of a relaxed SnPtSeI2 crystal.

## Properties
**Density**: 5.87 g cm⁻³
**Total DFT energy (no corrections)**: -2.449 eV per atom
**Fermi-level density of states**: 11.09 states/eV per cell
**Raw formation energy**: 877 meV/atom

Lattice parameters (Å, degrees): 5.935 5.189 5.935 90.00 90.00 90.00
Last column: magnetic moment on the atom in μB.
Element x y z (fractional)
1 Se 0.000 0.500 0.000  0.20
2 I 0.500 0.000 0.000  0.05
3 Sn 0.000 0.000 0.000  -0.01
4 Pt 0.500 0.500 0.500  0.63
5 I 0.000 0.000 0.500  0.04

Record 7
The following is a DFT calculation (PBE-GGA) of a relaxed CoSnBr2 crystal.

## Properties
**Density**: 5.17 g cm⁻³
**Total DFT energy (no corrections)**: -3.670 eV per atom
**Fermi-level density of states**: 0.22 states/eV per cell
**Raw formation energy**: -56 meV/atom

Lattice parameters (Å, degrees): 9.287 9.287 7.032 48.67 48.67 90.00
Last column: magnetic moment on the atom in μB.
Element x y z (fractional)
1 Br 0.375 0.528 0.750  0.03
2 Co 0.500 0.500 0.000  1.20
3 Br 0.875 0.722 0.750  0.02
4 Sn 0.000 0.000 0.000  -0.14
5 Br 0.278 0.625 0.250  0.02
6 Br 0.472 0.125 0.250  0.02
7 Sn 0.750 0.250 0.500  -0.14
8 Co 0.250 0.750 0.500  1.21

Record 8
The following is a DFT calculation (PBE-GGA) of a relaxed MnHgS2Cl crystal.

## Properties
**Density**: 6.04 g cm⁻³
**Total DFT energy (no corrections)**: -3.826 eV per atom
**Fermi-level density of states**: 6.60 states/eV per cell
**Raw formation energy**: 88 meV/atom

Lattice parameters (Å, degrees): 4.421 4.421 4.995 90.00 90.00 90.00
Element x y z (fractional)
1 S 0.500 0.000 0.000
2 Cl 0.000 0.000 0.500
3 Hg 0.500 0.500 0.500
4 Mn 0.000 0.000 0.000
5 S 0.000 0.500 0.000

Record 9
The following is a DFT calculation (PBE-GGA) of a relaxed MgBeF2 crystal.

## Properties
**Density**: 2.40 g cm⁻³
**Total DFT energy (no corrections)**: -3.337 eV per atom
**Fermi-level density of states**: 0.09 states/eV per cell
**Raw formation energy**: -1071 meV/atom

Lattice parameters (Å, degrees): 4.119 4.119 4.119 60.00 60.00 60.00
Element x y z (fractional)
1 F 0.750 0.750 0.750
2 Be 0.000 0.000 0.000
3 F 0.250 0.250 0.250
4 Mg 0.500 0.500 0.500

Record 10
The following is a DFT calculation (PBE-GGA) of a relaxed La7I12N crystal.

## Properties
**Density**: 5.22 g cm⁻³
**Total DFT energy (no corrections)**: -4.475 eV per atom
**Fermi-level density of states**: 13.58 states/eV per cell
**Raw formation energy**: -1404 meV/atom

Lattice parameters (Å, degrees): 9.928 9.928 9.928 107.72 107.72 107.72
Last column: magnetic moment on the atom in μB.
Element x y z (fractional)
1 I 0.612 0.528 0.852  0.00
2 I 0.148 0.388 0.472  0.00
3 La 0.291 0.099 0.031  0.07
4 I 0.772 0.923 0.316  0.00
5 I 0.923 0.316 0.772  0.00
6 I 0.388 0.472 0.148  0.00
7 I 0.316 0.772 0.923  0.00
8 La 0.099 0.031 0.291  0.07
9 I 0.528 0.852 0.612  0.00
10 I 0.077 0.684 0.228  0.00
11 I 0.852 0.612 0.528  0.00
12 I 0.228 0.077 0.684  0.00
13 La 0.709 0.901 0.969  0.07
14 La 0.969 0.709 0.901  0.07
15 La 0.500 0.500 0.500  0.01
16 I 0.684 0.228 0.077  0.00
17 La 0.031 0.291 0.099  0.07
18 I 0.472 0.148 0.388  0.00
19 La 0.901 0.969 0.709  0.07
20 N 0.000 0.000 0.000  -0.03

Record 11
The following is a DFT calculation (PBE-GGA) of a relaxed La6Dy8Th crystal.

## Properties
**Density**: 7.68 g cm⁻³
**Total DFT energy (no corrections)**: -4.807 eV per atom
**Formation enthalpy at 0 K**: 10.9 kJ/mol of atoms
**Fermi-level density of states**: 24.38 states/eV per cell

Lattice parameters (Å, degrees): 8.824 8.824 8.824 62.38 62.38 62.38
Element x y z (fractional)
1 La 0.091 0.535 0.235
2 La 0.535 0.235 0.091
3 Th 0.000 0.000 0.000
4 Dy 0.577 0.577 0.577
5 La 0.765 0.909 0.465
6 Dy 0.423 0.423 0.423
7 Dy 0.770 0.116 0.703
8 La 0.235 0.091 0.535
9 Dy 0.297 0.230 0.884
10 La 0.465 0.765 0.909
11 Dy 0.116 0.703 0.770
12 Dy 0.884 0.297 0.230
13 La 0.909 0.465 0.765
14 Dy 0.230 0.884 0.297
15 Dy 0.703 0.770 0.116

Record 12
The following is a DFT calculation (PBE-GGA) of a relaxed TaRhAu2 crystal.

## Properties
**Density**: 16.56 g cm⁻³
**Total DFT energy (no corrections)**: -6.391 eV per atom
**Formation enthalpy at 0 K**: 4.7 kJ/mol of atoms
**Fermi-level density of states**: 5.17 states/eV per cell

Lattice parameters (Å, degrees): 3.516 4.161 4.646 90.00 90.00 90.00
Element x y z (fractional)
1 Ta 0.000 0.500 0.500
2 Rh 0.500 0.000 0.500
3 Au 0.500 0.500 0.000
4 Au 0.000 0.000 0.000